Computed, not measured: a relaxed LaZrAg crystal at the PBE-GGA level of DFT.

Values from the calculation:
As for the formation energy: 0.04 eV per atom. The electronic total energy comes out at -32.39 eV per cell.

a = 5.2236 Å, b = 5.2236 Å, c = 6.5215 Å
α = 90.00°, β = 90.00°, γ = 120.00°
Closest atoms and distances in Å follow each position.
Sites, in units of the cell vectors:
La (0.0000, 0.0000, 0.0000)  1 Zr 2.96, 3 Ag 3.25
La (0.3333, 0.6667, 0.3588)  4 Ag 2.98-3.16, 3 Zr 3.25
Zr (0.0000, 0.0000, 0.5459)  4 La 2.96-3.25, 3 Zr 3.16
Zr (0.6667, 0.3333, 0.6900)  5 Ag 3.09-3.43, 3 Zr 3.16
Ag (0.3333, 0.6667, 0.8162)  4 La 2.98-3.25, 3 Zr 3.13
Ag (0.6667, 0.3333, 0.2158)  2 Zr 3.09-3.43, 6 La 3.16-3.33

Computed, not measured: a relaxed LaZrAg crystal at the PBE-GGA level of DFT.

Values from the calculation:
As for the formation energy: 0.00 eV per atom. The electronic total energy comes out at -65.30 eV per cell.

a = 5.9810 Å, b = 8.6003 Å, c = 5.9907 Å
α = 90.00°, β = 90.00°, γ = 90.00°
Closest atoms and distances in Å follow each position.
Sites, in units of the cell vectors:
La (0.2500, 0.1312, 0.0000)  4 Ag 3.30-3.52, 5 Zr 3.43-3.52, 2 La 3.63
La (0.2500, 0.3688, 0.5000)  4 Ag 3.30-3.52, 5 Zr 3.43-3.52, 2 La 3.63
La (0.7500, 0.6312, 0.5000)  4 Ag 3.30-3.52, 5 Zr 3.43-3.52, 2 La 3.63
La (0.7500, 0.8688, 0.0000)  4 Ag 3.30-3.52, 5 Zr 3.43-3.52, 2 La 3.63
Zr (0.2500, 0.7157, 0.7822)  4 Ag 2.86-3.20, 2 Zr 3.05
Zr (0.2500, 0.7843, 0.2822)  4 Ag 2.86-3.20, 2 Zr 3.05
Zr (0.7500, 0.2157, 0.2822)  4 Ag 2.86-3.20, 2 Zr 3.05
Zr (0.7500, 0.2843, 0.7822)  4 Ag 2.86-3.20, 2 Zr 3.05
Ag (0.0000, 0.0000, 0.5462)  4 Zr 2.86-3.20, 2 Ag 2.99
Ag (0.0000, 0.5000, 0.0462)  4 Zr 2.86-3.20, 2 Ag 2.99
Ag (0.5000, 0.0000, 0.5462)  4 Zr 2.86-3.20, 2 Ag 2.99
Ag (0.5000, 0.5000, 0.0462)  4 Zr 2.86-3.20, 2 Ag 2.99